First-principles (GGA-PBE) data for a relaxed structure of K2SiH5F, as listed in the Alexandria database. Values from VASP.

## Properties
spin magnetization	0.00	μB per formula unit
E	-32.6	eV per cell
space-group type	I4mm, No. 107

Structure (Quantum ESPRESSO input):
```
&SYSTEM
  ibrav = 0, nat = 9, ntyp = 4
/
ATOMIC_SPECIES
K 39.10 K.upf
Si 28.09 Si.upf
H 1.01 H.upf
F 19.00 F.upf
ATOMIC_POSITIONS angstrom
K 2.786 0.000 0.000
K 0.000 2.786 0.000
Si 0.000 0.000 2.134
H 1.658 1.658 -1.959
H 1.128 -1.128 2.101
H 0.000 0.000 3.722
H -1.128 1.128 2.101
H 1.128 1.128 2.101
F 0.000 0.000 0.312
CELL_PARAMETERS angstrom
-2.786 2.786 4.060
2.786 -2.786 4.060
2.786 2.786 -4.060
```



First-principles (GGA-PBE) data for a relaxed structure of CaPm6Sm2, as listed in the Alexandria database. Values from VASP.

## Properties
spin magnetization	0.00	μB per formula unit
E	-79.4	eV per cell
space-group type	P-1, No. 2
formation enthalpy at 0 K	0.030	eV per atom

Structure (Quantum ESPRESSO input):
```
&SYSTEM
  ibrav = 0, nat = 18, ntyp = 3
/
ATOMIC_SPECIES
Ca 40.08 Ca.upf
Pm 145.00 Pm.upf
Sm 150.36 Sm.upf
ATOMIC_POSITIONS angstrom
Ca 0.919 2.251 3.282
Ca 4.595 4.660 6.028
Pm -0.934 1.468 6.412
Pm -0.901 -1.828 7.792
Pm -0.926 3.905 9.160
Pm 0.899 7.934 4.678
Pm 0.905 4.680 6.070
Pm 2.749 5.433 2.916
Pm 2.765 1.479 6.394
Pm 4.609 2.232 3.239
Pm 4.616 -1.022 4.632
Pm 6.440 3.007 0.150
Pm 6.415 8.740 1.517
Pm 6.449 5.444 2.898
Sm 2.773 3.014 0.154
Sm 2.783 8.741 1.529
Sm 2.731 -1.829 7.781
Sm 2.742 3.898 9.156
CELL_PARAMETERS angstrom
7.376 0.000 0.000
-0.013 9.142 0.000
-1.849 -2.230 9.310
```



First-principles (GGA-PBE) data for a relaxed structure of Th3TlRu2, as listed in the Alexandria database. Values from VASP.

## Properties
spin magnetization	0.00	μB per formula unit
E	-86.1	eV per cell
space-group type	C2/m, No. 12
formation enthalpy at 0 K	0.019	eV per atom

Structure (Quantum ESPRESSO input):
```
&SYSTEM
  ibrav = 0, nat = 12, ntyp = 3
/
ATOMIC_SPECIES
Th 232.04 Th.upf
Tl 204.38 Tl.upf
Ru 101.07 Ru.upf
ATOMIC_POSITIONS angstrom
Th 1.123 0.000 2.458
Th 5.084 0.000 6.510
Th 8.750 0.000 0.867
Th 11.148 0.000 7.626
Th 14.814 0.000 1.982
Th 18.776 0.000 6.034
Tl 6.863 0.000 3.596
Tl 13.035 0.000 4.897
Ru 0.292 0.000 5.531
Ru 5.921 0.000 0.895
Ru 13.978 0.000 7.598
Ru 19.606 0.000 2.962
CELL_PARAMETERS angstrom
10.448 -1.870 0.000
10.448 1.870 0.000
-0.998 0.000 8.493
```



First-principles (GGA-PBE) data for a relaxed structure of Rb2InSnI5, as listed in the Alexandria database. Values from VASP.

## Properties
spin magnetization	0.00	μB per formula unit
E	-49.3	eV per cell
space-group type	Cmc2_1, No. 36
formation energy (no corrections)	-8.21	eV/f.u.

Structure (Quantum ESPRESSO input):
```
&SYSTEM
  ibrav = 0, nat = 18, ntyp = 4
/
ATOMIC_SPECIES
Rb 85.47 Rb.upf
In 114.82 In.upf
Sn 118.71 Sn.upf
I 126.90 I.upf
ATOMIC_POSITIONS angstrom
Rb 2.430 8.900 8.512
Rb 2.430 7.792 2.593
Rb 2.430 -7.792 11.105
Rb 2.430 -8.900 0.000
In 2.430 0.997 5.167
In 2.430 -0.997 13.678
Sn 2.430 5.696 15.097
Sn 2.430 -5.696 6.586
I 2.430 8.747 15.854
I 2.430 5.239 8.803
I 2.430 4.430 4.485
I 2.430 2.557 14.279
I 2.430 0.054 10.518
I 2.430 -0.054 2.006
I 2.430 -2.557 5.767
I 2.430 -4.430 12.996
I 2.430 -5.239 0.292
I 2.430 -8.747 7.343
CELL_PARAMETERS angstrom
2.430 -10.629 0.000
2.430 10.629 0.000
0.000 0.000 17.023
```



First-principles (GGA-PBE) data for a relaxed structure of ZnNiIr2, as listed in the Alexandria database. Values from VASP.

## Properties
spin magnetization	0.00	μB per formula unit
E	-48.6	eV per cell
space-group type	Cmm2, No. 35
formation enthalpy at 0 K	0.120	eV per atom

Structure (Quantum ESPRESSO input):
```
&SYSTEM
  ibrav = 0, nat = 8, ntyp = 3
/
ATOMIC_SPECIES
Zn 65.41 Zn.upf
Ni 58.69 Ni.upf
Ir 192.22 Ir.upf
ATOMIC_POSITIONS angstrom
Zn 0.000 0.000 0.000
Zn 1.355 2.335 0.000
Ni 0.000 2.335 6.723
Ni 1.355 0.000 6.723
Ir 0.000 0.000 4.578
Ir 0.000 2.335 2.256
Ir 1.355 0.000 2.256
Ir 1.355 2.335 4.578
CELL_PARAMETERS angstrom
2.711 0.000 0.000
0.000 4.671 0.000
0.000 0.000 8.781
```



First-principles (GGA-PBE) data for a relaxed structure of Li2SmPN4, as listed in the Alexandria database. Values from VASP.

## Properties
spin magnetization	0.00	μB per formula unit
E	-104.6	eV per cell
space-group type	I-42m, No. 121
formation energy (no corrections)	-5.04	eV/f.u.

Structure (Quantum ESPRESSO input):
```
&SYSTEM
  ibrav = 0, nat = 16, ntyp = 4
/
ATOMIC_SPECIES
Li 6.94 Li.upf
Sm 150.36 Sm.upf
P 30.97 P.upf
N 14.01 N.upf
ATOMIC_POSITIONS angstrom
Li 0.000 2.627 1.618
Li 0.000 2.627 4.854
Li 2.627 0.000 1.618
Li 2.627 0.000 4.854
Sm 0.000 0.000 0.000
Sm 2.627 2.627 3.236
P 0.000 0.000 3.236
P 2.627 2.627 0.000
N 0.973 0.973 2.339
N 0.973 4.281 4.132
N 1.654 1.654 5.575
N 1.654 3.600 0.896
N 3.600 1.654 0.896
N 3.600 3.600 5.575
N 4.281 0.973 4.132
N 4.281 4.281 2.339
CELL_PARAMETERS angstrom
5.254 0.000 0.000
0.000 5.254 0.000
0.000 0.000 6.472
```



First-principles (GGA-PBE) data for a relaxed structure of Tc2SbBr, as listed in the Alexandria database. Values from VASP.

## Properties
spin magnetization	1.51	μB per formula unit
E	-23.0	eV per cell
space-group type	Pmmm, No. 47
formation energy (no corrections)	3.51	eV/f.u.

Structure (Quantum ESPRESSO input):
```
&SYSTEM
  ibrav = 0, nat = 4, ntyp = 3
/
ATOMIC_SPECIES
Tc 98.00 Tc.upf
Sb 121.76 Sb.upf
Br 79.90 Br.upf
ATOMIC_POSITIONS angstrom
Tc 0.000 0.000 0.000
Tc 1.520 0.000 2.798
Sb 0.000 2.200 2.798
Br 1.520 2.200 0.000
CELL_PARAMETERS angstrom
3.039 0.000 0.000
0.000 4.400 0.000
0.000 0.000 5.597
```



First-principles (GGA-PBE) data for a relaxed structure of Li3Cu, as listed in the Alexandria database. Values from VASP.

## Properties
spin magnetization	0.00	μB per formula unit
E	-19.5	eV per cell
space-group type	Cmmm, No. 65
formation enthalpy at 0 K	0.027	eV per atom

Structure (Quantum ESPRESSO input):
```
&SYSTEM
  ibrav = 0, nat = 8, ntyp = 2
/
ATOMIC_SPECIES
Li 6.94 Li.upf
Cu 63.55 Cu.upf
ATOMIC_POSITIONS angstrom
Li 0.000 0.000 0.000
Li 1.401 1.964 1.362
Li 1.401 5.893 1.362
Li 2.802 3.928 0.000
Li 4.202 1.964 1.362
Li 4.202 5.893 1.362
Cu 0.000 3.928 0.000
Cu 2.802 0.000 0.000
CELL_PARAMETERS angstrom
5.603 0.000 0.000
0.000 7.857 0.000
0.000 0.000 2.723
```